Entry 1:
Here is an optimized crystal structure of ZrCuHgBi from the Open Quantum Materials Database. Energies are from PBE-GGA.

Properties
Electronic total energy in eV per atom: -3.8971
Energy above the most stable polymorph in this dataset in eV/atom: 0.0592
Space-group type: F-43m

```
ZrCuHgBi
1.0
7.098 0.000 0.000
0.000 7.098 0.000
0.000 0.000 7.098
Zr Cu Hg Bi
4 4 4 4
direct
0.000 0.000 0.000
0.000 0.500 0.500
0.500 0.000 0.500
0.500 0.500 0.000
0.250 0.250 0.250
0.250 0.750 0.750
0.750 0.250 0.750
0.750 0.750 0.250
0.250 0.250 0.750
0.250 0.750 0.250
0.750 0.250 0.250
0.750 0.750 0.750
0.000 0.000 0.500
0.000 0.500 0.000
0.500 0.000 0.000
0.500 0.500 0.500
```

Entry 2:
Here is an optimized crystal structure of Rb2NaAgI6 from the Open Quantum Materials Database. Energies are from PBE-GGA.

Properties
Electronic total energy in eV per atom: -1.9388
Space-group type: P4/mmm

```
Rb2NaAgI6
1.0
6.113 0.000 0.000
0.000 6.113 0.000
0.000 0.000 14.311
Rb Na Ag I
2 1 1 6
direct
0.000 0.000 0.250
0.000 0.000 0.750
0.500 0.500 0.000
0.500 0.500 0.500
0.000 0.000 0.000
0.000 0.000 0.500
0.000 0.500 0.367
0.000 0.500 0.633
0.500 0.000 0.367
0.500 0.000 0.633
```

Entry 3:
Here is an optimized crystal structure of LiCoSnW from the Open Quantum Materials Database. Energies are from PBE-GGA.

Properties
Electronic total energy in eV per atom: -6.2312
Energy above the most stable polymorph in this dataset in eV/atom: 0.0000
Space-group type: F-43m

```
LiCoSnW
1.0
6.109 0.000 0.000
0.000 6.109 0.000
0.000 0.000 6.109
Li Co Sn W
4 4 4 4
direct
0.000 0.000 0.000
0.000 0.500 0.500
0.500 0.000 0.500
0.500 0.500 0.000
0.000 0.000 0.500
0.000 0.500 0.000
0.500 0.000 0.000
0.500 0.500 0.500
0.250 0.250 0.250
0.250 0.750 0.750
0.750 0.250 0.750
0.750 0.750 0.250
0.250 0.250 0.750
0.250 0.750 0.250
0.750 0.250 0.250
0.750 0.750 0.750
```

Entry 4:
Here is an optimized crystal structure of TbNb from the Open Quantum Materials Database. Energies are from PBE-GGA.

Properties
Electronic total energy in eV per atom: -6.8743
Energy above the most stable polymorph in this dataset in eV/atom: 0.0000
DFT formation energy in meV per atom: 487
Space-group type: P-6m2

```
TbNb
1.0
3.200 0.000 0.000
-1.600 2.771 0.000
0.000 0.000 5.305
Tb Nb
1 1
direct
0.000 0.000 0.000
0.333 0.667 0.500
```

Entry 5:
Here is an optimized crystal structure of BaTb2PtO6 from the Open Quantum Materials Database. Energies are from PBE-GGA.

Properties
Electronic total energy in eV per atom: -6.2890
Space-group type: P4/mmm

```
BaTb2PtO6
1.0
4.357 0.000 0.000
0.000 4.357 0.000
0.000 0.000 8.699
Ba Tb Pt O
1 2 1 6
direct
0.000 0.000 0.000
0.500 0.500 0.254
0.500 0.500 0.746
0.000 0.000 0.500
0.000 0.500 0.274
0.000 0.500 0.726
0.500 0.000 0.274
0.500 0.000 0.726
0.500 0.500 0.000
0.500 0.500 0.500
```

Entry 6:
Here is an optimized crystal structure of Zr6NiCl15 from the Open Quantum Materials Database. Energies are from PBE-GGA.

Properties
Electronic total energy in eV per atom: -5.4817
Space-group type: Im-3m

```
Zr6NiCl15
1.0
-5.135 5.135 5.135
5.135 -5.135 5.135
5.135 5.135 -5.135
Zr Ni Cl
6 1 15
direct
0.000 0.243 0.243
0.000 0.757 0.757
0.243 0.000 0.243
0.243 0.243 0.000
0.757 0.000 0.757
0.757 0.757 0.000
0.000 0.000 0.000
0.000 0.249 0.751
0.000 0.500 0.500
0.000 0.751 0.249
0.249 0.000 0.751
0.249 0.249 0.497
0.249 0.497 0.249
0.249 0.751 0.000
0.497 0.249 0.249
0.500 0.000 0.500
0.500 0.500 0.000
0.503 0.751 0.751
0.751 0.000 0.249
0.751 0.249 0.000
0.751 0.503 0.751
0.751 0.751 0.503
```

Entry 7:
Here is an optimized crystal structure of Rb2PaO4 from the Open Quantum Materials Database. Energies are from PBE-GGA.

Properties
Electronic total energy in eV per atom: -6.2944
Space-group type: I4_1/amd

```
Rb2PaO4
1.0
-3.803 3.803 5.351
3.803 -3.803 5.351
3.803 3.803 -5.351
Rb Pa O
4 2 8
direct
0.000 0.000 0.000
0.000 0.000 0.500
0.000 0.500 0.000
0.500 0.000 0.500
0.375 0.625 0.750
0.625 0.375 0.250
0.262 0.735 0.528
0.265 0.293 0.528
0.265 0.738 0.972
0.293 0.265 0.028
0.707 0.735 0.972
0.735 0.262 0.028
0.735 0.707 0.472
0.738 0.265 0.472
```

Entry 8:
Here is an optimized crystal structure of CdNiBMo from the Open Quantum Materials Database. Energies are from PBE-GGA.

Properties
Electronic total energy in eV per atom: -5.1395
Energy above the most stable polymorph in this dataset in eV/atom: 0.1896
Space-group type: F-43m

```
CdNiBMo
1.0
5.966 0.000 0.000
0.000 5.966 0.000
0.000 0.000 5.966
Cd Ni B Mo
4 4 4 4
direct
0.000 0.000 0.000
0.000 0.500 0.500
0.500 0.000 0.500
0.500 0.500 0.000
0.250 0.250 0.750
0.250 0.750 0.250
0.750 0.250 0.250
0.750 0.750 0.750
0.000 0.000 0.500
0.000 0.500 0.000
0.500 0.000 0.000
0.500 0.500 0.500
0.250 0.250 0.250
0.250 0.750 0.750
0.750 0.250 0.750
0.750 0.750 0.250
```

Entry 9:
Here is an optimized crystal structure of Cs2AgSe2 from the Open Quantum Materials Database. Energies are from PBE-GGA.

Properties
Electronic total energy in eV per atom: -3.0017
Space-group type: C2/m

```
Cs2AgSe2
1.0
12.889 0.000 0.000
0.000 4.071 0.000
-1.663 0.000 7.111
Cs Ag Se
4 2 4
direct
0.160 0.000 0.212
0.340 0.500 0.788
0.660 0.500 0.212
0.840 0.000 0.788
0.000 0.500 0.500
0.500 0.000 0.500
0.106 0.000 0.696
0.394 0.500 0.304
0.606 0.500 0.696
0.894 0.000 0.304
```

Entry 10:
Here is an optimized crystal structure of K3NaP2Pd2 from the Open Quantum Materials Database. Energies are from PBE-GGA.

Properties
Electronic total energy in eV per atom: -3.6093
Space-group type: Pm

```
K3NaP2Pd2
1.0
6.094 0.000 0.000
0.000 5.730 0.000
-1.602 0.000 5.919
K Na P Pd
3 1 2 2
direct
0.000 0.000 0.000
0.065 0.500 0.366
0.358 0.000 0.669
0.687 0.500 0.672
0.325 0.500 0.927
0.791 0.000 0.441
0.529 0.252 0.210
0.529 0.748 0.210
```

Entry 11:
Here is an optimized crystal structure of Zn2CuAg5 from the Open Quantum Materials Database. Energies are from PBE-GGA.

Properties
Electronic total energy in eV per atom: -2.5499
DFT formation energy in meV per atom: -4
Space-group type: Amm2

```
Zn2CuAg5
1.0
4.619 0.000 0.000
0.000 5.748 0.000
0.000 0.000 9.856
Zn Cu Ag
4 2 10
direct
0.000 0.000 0.000
0.000 0.500 0.500
0.500 0.000 0.337
0.500 0.500 0.837
0.000 0.000 0.497
0.000 0.500 0.997
0.000 0.245 0.251
0.000 0.255 0.751
0.000 0.745 0.751
0.000 0.755 0.251
0.500 0.000 0.834
0.500 0.246 0.578
0.500 0.254 0.078
0.500 0.500 0.334
0.500 0.746 0.078
0.500 0.754 0.578
```

Entry 12:
Here is an optimized crystal structure of Na2Mg2AlSnPt2 from the Open Quantum Materials Database. Energies are from PBE-GGA.

Properties
Electronic total energy in eV per atom: -3.6284
Space-group type: P-4m2

```
Na2Mg2AlSnPt2
1.0
4.630 0.000 0.000
0.000 4.630 0.000
0.000 0.000 6.660
Na Mg Al Sn Pt
2 2 1 1 2
direct
0.000 0.500 0.236
0.500 0.000 0.764
0.000 0.000 0.000
0.500 0.500 0.500
0.500 0.500 0.000
0.000 0.000 0.500
0.000 0.500 0.767
0.500 0.000 0.233
```